1.
A plane-wave DFT calculation with PBE was carried out for crystalline RbZrAgTeSeS at its relaxed geometry.

Raw total energy in eV/atom: -4.82
M_tot in μB/f.u.: 0.00

Geometry as POSCAR:
```
RbZrAgTeSeS
1.0
9.197 0.000 0.000
0.000 4.101 0.000
-3.782 0.000 9.494
Ag Rb S Se Te Zr
2 2 2 2 2 2
Direct
0.077 0.250 0.102 Ag
0.923 0.750 0.898 Ag
0.770 0.750 0.208 Rb
0.230 0.250 0.792 Rb
0.233 0.750 0.064 S
0.767 0.250 0.936 S
0.122 0.250 0.371 Se
0.878 0.750 0.629 Se
0.540 0.250 0.355 Te
0.460 0.750 0.645 Te
0.295 0.750 0.324 Zr
0.705 0.250 0.676 Zr
```

=====

2.
A plane-wave DFT calculation with PBE was carried out for crystalline Rb2ZrAg2SeS3 at its relaxed geometry.

Raw total energy in eV/atom: -4.57
M_tot in μB/f.u.: 0.00

Geometry as POSCAR:
```
Rb2ZrAg2SeS3
1.0
-3.589 -4.235 2.674
2.128 -4.319 -3.874
6.110 -3.651 2.526
Ag Rb S Se Zr
2 2 3 1 1
Direct
0.499 0.992 0.004 Ag
0.007 0.499 0.004 Ag
0.262 0.500 0.497 Rb
0.739 0.000 0.498 Rb
0.776 0.671 0.210 S
0.224 0.117 0.212 S
0.228 0.875 0.795 S
0.765 0.347 0.778 Se
0.001 0.999 0.002 Zr
```

=====

3.
A plane-wave DFT calculation with PBE was carried out for crystalline RbZrAgSe2S at its relaxed geometry.

Raw total energy in eV/atom: -4.98
M_tot in μB/f.u.: 0.01

Geometry as POSCAR:
```
RbZrAgSe2S
1.0
-5.223 4.657 -3.739
1.729 -5.418 5.532
1.844 7.514 6.784
Ag Rb S Se Zr
2 2 2 4 2
Direct
0.042 0.958 0.250 Ag
0.958 0.042 0.750 Ag
0.758 0.242 0.250 Rb
0.242 0.758 0.750 Rb
0.442 0.558 0.250 S
0.558 0.442 0.750 S
0.122 0.878 0.031 Se
0.122 0.878 0.469 Se
0.878 0.122 0.531 Se
0.878 0.122 0.969 Se
0.500 0.500 0.000 Zr
0.500 0.500 0.500 Zr
```

=====

4.
A plane-wave DFT calculation with PBE was carried out for crystalline RbZrAgSe2S at its relaxed geometry.

Raw total energy in eV/atom: -5.01
M_tot in μB/f.u.: 0.00

Geometry as POSCAR:
```
RbZrAgSe2S
1.0
-1.768 -0.286 8.497
-3.105 -2.373 -0.726
6.377 -7.493 -2.784
Ag Rb S Se Zr
2 2 2 4 2
Direct
0.573 0.250 0.106 Ag
0.427 0.750 0.894 Ag
0.263 0.750 0.229 Rb
0.737 0.250 0.771 Rb
0.622 0.250 0.364 S
0.378 0.750 0.636 S
0.764 0.750 0.068 Se
0.041 0.250 0.369 Se
0.959 0.750 0.631 Se
0.236 0.250 0.932 Se
0.806 0.750 0.341 Zr
0.194 0.250 0.659 Zr
```

=====

5.
A plane-wave DFT calculation with PBE was carried out for crystalline RbZrAgSe2S at its relaxed geometry.

Raw total energy in eV/atom: -5.04
M_tot in μB/f.u.: 0.00

Geometry as POSCAR:
```
RbZrAgSe2S
1.0
8.613 0.000 0.000
0.000 3.968 0.000
-3.739 0.000 9.379
Ag Rb S Se Zr
2 2 2 4 2
Direct
0.075 0.250 0.108 Ag
0.925 0.750 0.892 Ag
0.746 0.750 0.228 Rb
0.254 0.250 0.772 Rb
0.530 0.250 0.373 S
0.470 0.750 0.627 S
0.268 0.750 0.070 Se
0.111 0.250 0.376 Se
0.889 0.750 0.624 Se
0.732 0.250 0.930 Se
0.319 0.750 0.348 Zr
0.681 0.250 0.652 Zr
```

=====

6.
A plane-wave DFT calculation with PBE was carried out for crystalline RbSiAgS3 at its relaxed geometry.

Raw total energy in eV/atom: -4.10

Geometry as POSCAR:
```
RbSiAgS3
1.0
-1.773 11.853 -6.369
1.672 -1.342 -2.962
-9.647 -3.514 -3.854
Ag Rb S Si
4 4 12 4
Direct
0.739 0.750 0.236 Ag
0.239 0.750 0.264 Ag
0.761 0.250 0.736 Ag
0.261 0.250 0.764 Ag
0.148 0.250 0.028 Rb
0.648 0.250 0.472 Rb
0.352 0.750 0.528 Rb
0.852 0.750 0.972 Rb
0.404 0.750 0.021 S
0.864 0.250 0.222 S
0.562 0.750 0.238 S
0.062 0.750 0.262 S
0.364 0.250 0.278 S
0.904 0.750 0.479 S
0.096 0.250 0.521 S
0.636 0.750 0.722 S
0.938 0.250 0.738 S
0.438 0.250 0.762 S
0.136 0.750 0.778 S
0.596 0.250 0.979 S
0.482 0.250 0.135 Si
0.982 0.250 0.365 Si
0.018 0.750 0.635 Si
0.518 0.750 0.865 Si
```